Material: LiNp2MoO8
Method: DFT, PBE+U
State: relaxed

Results
* volume: 158.9 Å³/cell
* VASP energy: -8.6636 eV/atom
* D(E_F): 0.66 states/eV/atom
* space group: Cmmm, No. 65

Structure (extended XYZ):
```
12
Lattice="3.341 -3.442 0.000 3.341 3.442 0.000 0.000 0.000 6.908" Properties=species:S:1:pos:R:3 pbc="T T T"
Li 0.000 0.000 0.000
Np 3.341 0.000 1.704
Np 3.341 0.000 5.204
Mo 0.000 0.000 3.454
O 1.374 0.000 1.795
O 1.374 0.000 5.114
O 3.341 1.321 3.454
O 3.341 1.262 0.000
O 3.341 -1.262 0.000
O 3.341 -1.321 3.454
O 5.307 0.000 1.795
O 5.307 0.000 5.114
```